Below is GaAuI2 at its PBEsol-relaxed geometry, with properties calculated at the SCAN level.

Calculated values
The energy is -39.46 eV per atom. The value obtained for the calculated density is 8.4 g/cm³. The total magnetization is 0.00 Bohr magnetons per cell.

a b c (Å): 5.267 5.267 5.267
angles (deg): 60.00 60.00 60.00
Atoms (fractional coordinates):
I (0.250, 0.250, 0.250)
I (0.750, 0.750, 0.750)
Au (0.500, 0.500, 0.500)
Ga (0.000, 0.000, 0.000)



Below is Na2Zn2O3 at its PBEsol-relaxed geometry, with properties calculated at the SCAN level.

Calculated values
The offset from the most stable computed form comes out at 0.000 eV/atom. The energy is -9.32 eV per atom. The value obtained for the calculated density is 4.2 g/cm³. The total magnetization is 0.00 Bohr magnetons per cell.

a b c (Å): 6.171 6.171 9.399
angles (deg): 90.00 90.00 90.00
Atoms (fractional coordinates):
Na (0.746, 0.534, 0.645)
Na (0.966, 0.246, 0.395)
Na (0.466, 0.254, 0.855)
Na (0.254, 0.466, 0.145)
Na (0.034, 0.754, 0.895)
Na (0.754, 0.034, 0.105)
Na (0.534, 0.746, 0.355)
Na (0.246, 0.966, 0.605)
Zn (0.257, 0.456, 0.615)
Zn (0.044, 0.757, 0.365)
Zn (0.456, 0.257, 0.385)
Zn (0.757, 0.044, 0.635)
Zn (0.243, 0.956, 0.135)
Zn (0.544, 0.743, 0.885)
Zn (0.956, 0.243, 0.865)
Zn (0.743, 0.544, 0.115)
O (0.323, 0.677, 0.750)
O (0.242, 0.514, 0.408)
O (0.486, 0.758, 0.092)
O (0.758, 0.486, 0.908)
O (0.677, 0.323, 0.250)
O (0.986, 0.742, 0.158)
O (0.823, 0.823, 0.500)
O (0.514, 0.242, 0.592)
O (0.014, 0.258, 0.658)
O (0.258, 0.014, 0.342)
O (0.742, 0.986, 0.842)
O (0.177, 0.177, 0.000)



Below is Al2CuSi at its PBEsol-relaxed geometry, with properties calculated at the SCAN level.

Calculated values
The energy is -10.05 eV per atom. The value obtained for the calculated density is 4.2 g/cm³. The total magnetization is 0.00 Bohr magnetons per cell.

a b c (Å): 2.934 4.431 4.431
angles (deg): 90.00 90.00 90.00
Atoms (fractional coordinates):
Si (0.500, 0.000, 0.000)
Al (0.000, 0.000, 0.500)
Al (0.000, 0.500, 0.000)
Cu (0.500, 0.500, 0.500)



Below is LaHgTe2 at its PBEsol-relaxed geometry, with properties calculated at the SCAN level.

Calculated values
The energy is -47.18 eV per atom. The value obtained for the calculated density is 5.8 g/cm³. The total magnetization is 0.00 Bohr magnetons per cell.

a b c (Å): 6.885 6.885 8.680
angles (deg): 113.36 113.36 90.00
Atoms (fractional coordinates):
Te (0.361, 0.875, 0.250)
Te (0.889, 0.375, 0.250)
Te (0.125, 0.111, 0.750)
Te (0.625, 0.639, 0.750)
Hg (0.250, 0.750, 0.500)
Hg (0.000, 0.000, 0.000)
La (0.750, 0.250, 0.500)
La (0.500, 0.500, 0.000)